No. 1
{
  "formula": "TbCe2Tm",
  "functional": "GGA-PBE",
  "state": "optimized geometry",
  "lattice_angstrom": [[0.0000, 3.9681, 3.9681], [3.9681, 0.0000, 3.9681], [3.9681, 3.9681, 0.0000]],
  "species": ["Tb", "Ce", "Ce", "Tm"],
  "fractional_positions": [[0.0000, 0.0000, 0.0000], [0.2500, 0.2500, 0.2500], [0.7500, 0.7500, 0.7500], [0.5000, 0.5000, 0.5000]],
  "total_energy_ev_per_atom": -5.02,
  "magmom_total_mub_per_cell": 1.702,
  "ef_ev_per_atom": 0.222,
  "polymorph_energy_mev_per_atom": 136,
  "vol_a3_per_cell": 124.96,
  "crystal_system": "cubic",
  "spacegroup": "Fm-3m"
}

No. 2
{
  "formula": "CsIn2Hg2Bi",
  "functional": "GGA-PBE",
  "state": "optimized geometry",
  "lattice_angstrom": [[5.2482, 0.0000, 0.0000], [-2.6241, 4.5450, 0.0000], [0.0000, 0.0000, 9.0263]],
  "species": ["Cs", "In", "In", "Hg", "Hg", "Bi"],
  "fractional_positions": [[0.0000, 0.0000, 0.0000], [0.3333, 0.6667, 0.3481], [0.6667, 0.3333, 0.6519], [0.3333, 0.6667, 0.7389], [0.6667, 0.3333, 0.2611], [0.0000, 0.0000, 0.5000]],
  "total_energy_ev_per_atom": -1.96,
  "magmom_total_mub_per_cell": 0.000,
  "ef_ev_per_atom": -0.161,
  "vol_a3_per_cell": 215.30,
  "crystal_system": "trigonal",
  "spacegroup": "P-3m1"
}

No. 3
{
  "formula": "Cu2ReSiB",
  "functional": "GGA-PBE",
  "state": "optimized geometry",
  "lattice_angstrom": [[3.8821, 0.0000, 0.0000], [0.0000, 3.8821, 0.0000], [0.0000, 0.0000, 4.2038]],
  "species": ["Cu", "Cu", "Re", "Si", "B"],
  "fractional_positions": [[0.0000, 0.5000, 0.0000], [0.5000, 0.0000, 0.0000], [0.0000, 0.0000, 0.5000], [0.5000, 0.5000, 0.5000], [0.0000, 0.0000, 0.0000]],
  "total_energy_ev_per_atom": -6.17,
  "magmom_total_mub_per_cell": 0.510,
  "vol_a3_per_cell": 63.36,
  "raw_formation_energy_ev_per_atom": 0.3831,
  "crystal_system": "tetragonal",
  "spacegroup": "P4/mmm"
}

No. 4
{
  "formula": "CuNi2Br",
  "functional": "GGA-PBE",
  "state": "optimized geometry",
  "lattice_angstrom": [[3.1088, 0.0000, 0.0000], [0.0000, 3.1088, 0.0000], [0.0000, 0.0000, 5.8290]],
  "species": ["Cu", "Ni", "Ni", "Br"],
  "fractional_positions": [[0.0000, 0.0000, 0.0000], [0.5000, 0.5000, 0.2148], [0.5000, 0.5000, 0.7852], [0.0000, 0.0000, 0.5000]],
  "total_energy_ev_per_atom": -3.90,
  "magmom_total_mub_per_cell": 1.362,
  "polymorph_energy_mev_per_atom": 110,
  "vol_a3_per_cell": 56.33,
  "raw_formation_energy_ev_per_atom": 0.4298,
  "crystal_system": "tetragonal",
  "spacegroup": "P4/mmm"
}

No. 5
{
  "formula": "ScHg2Bi",
  "functional": "GGA-PBE",
  "state": "optimized geometry",
  "lattice_angstrom": [[1.6949, 0.9785, 11.3868], [-1.6949, 0.9785, 11.3868], [0.0000, -1.9571, 11.3868]],
  "species": ["Sc", "Hg", "Hg", "Bi"],
  "fractional_positions": [[0.0000, 0.0000, 0.0000], [0.0841, 0.0841, 0.0841], [0.9159, 0.9159, 0.9159], [0.5000, 0.5000, 0.5000]],
  "total_energy_ev_per_atom": -2.54,
  "magmom_total_mub_per_cell": 0.000,
  "ef_ev_per_atom": 0.159,
  "vol_a3_per_cell": 113.31,
  "crystal_system": "trigonal",
  "spacegroup": "R-3m"
}

No. 6
{
  "formula": "NiSbSe2",
  "functional": "GGA-PBE",
  "state": "optimized geometry",
  "lattice_angstrom": [[0.0000, 3.3832, 3.3832], [3.3832, 0.0000, 3.3832], [3.3832, 3.3832, 0.0000]],
  "species": ["Ni", "Sb", "Se", "Se"],
  "fractional_positions": [[0.0000, 0.0000, 0.0000], [0.2500, 0.2500, 0.2500], [0.5000, 0.5000, 0.5000], [0.7500, 0.7500, 0.7500]],
  "total_energy_ev_per_atom": -3.75,
  "magmom_total_mub_per_cell": 0.003,
  "vol_a3_per_cell": 77.45,
  "raw_formation_energy_ev_per_atom": 0.4679,
  "crystal_system": "cubic",
  "spacegroup": "F-43m"
}

No. 7
{
  "formula": "DyPuThTl",
  "functional": "GGA-PBE",
  "state": "optimized geometry",
  "lattice_angstrom": [[0.0000, 3.8361, 3.8361], [3.8361, 0.0000, 3.8361], [3.8361, 3.8361, 0.0000]],
  "species": ["Dy", "Pu", "Th", "Tl"],
  "fractional_positions": [[0.0000, 0.0000, 0.0000], [0.5000, 0.5000, 0.5000], [0.2500, 0.2500, 0.2500], [0.7500, 0.7500, 0.7500]],
  "total_energy_ev_per_atom": -7.04,
  "magmom_total_mub_per_cell": 6.564,
  "ef_ev_per_atom": 0.145,
  "vol_a3_per_cell": 112.90,
  "crystal_system": "cubic",
  "spacegroup": "F-43m"
}

No. 8
{
  "formula": "Pm3GaGe4",
  "functional": "GGA-PBE",
  "state": "optimized geometry",
  "lattice_angstrom": [[-2.2139, 3.0196, 7.5205], [2.2139, -3.0196, 7.5205], [2.2139, 3.0196, -7.5205]],
  "species": ["Pm", "Pm", "Pm", "Ga", "Ge", "Ge", "Ge", "Ge"],
  "fractional_positions": [[0.0000, 0.0000, 0.0000], [0.3142, 0.8142, 0.5000], [0.6858, 0.1858, 0.5000], [0.5000, 0.5000, 0.0000], [0.0777, 0.3736, 0.7041], [0.3304, 0.6264, 0.7041], [0.6696, 0.3736, 0.2959], [0.9223, 0.6264, 0.2959]],
  "total_energy_ev_per_atom": -5.05,
  "magmom_total_mub_per_cell": 0.000,
  "ef_ev_per_atom": -0.584,
  "vol_a3_per_cell": 201.10,
  "crystal_system": "orthorhombic",
  "spacegroup": "Immm"
}

No. 9
{
  "formula": "Li2NbCrRu",
  "functional": "GGA-PBE",
  "state": "optimized geometry",
  "lattice_angstrom": [[4.4801, 0.0000, 0.0000], [0.0000, 4.4801, 0.0000], [0.0000, 0.0000, 4.2706]],
  "species": ["Li", "Li", "Nb", "Cr", "Ru"],
  "fractional_positions": [[0.0000, 0.5000, 0.0000], [0.5000, 0.0000, 0.0000], [0.0000, 0.0000, 0.0000], [0.0000, 0.0000, 0.5000], [0.5000, 0.5000, 0.5000]],
  "total_energy_ev_per_atom": -4.81,
  "magmom_total_mub_per_cell": 1.585,
  "ef_ev_per_atom": 1.751,
  "vol_a3_per_cell": 85.72,
  "crystal_system": "tetragonal",
  "spacegroup": "P4/mmm"
}

No. 10
{
  "formula": "LiAc2Tb",
  "functional": "GGA-PBE",
  "state": "optimized geometry",
  "lattice_angstrom": [[1.9138, 1.1049, 11.7771], [-1.9138, 1.1049, 11.7771], [0.0000, -2.2098, 11.7771]],
  "species": ["Li", "Ac", "Ac", "Tb"],
  "fractional_positions": [[0.0000, 0.0000, 0.0000], [0.4163, 0.4163, 0.4163], [0.5849, 0.5849, 0.5849], [0.1674, 0.1674, 0.1674]],
  "total_energy_ev_per_atom": -3.60,
  "magmom_total_mub_per_cell": 0.000,
  "ef_ev_per_atom": 0.092,
  "polymorph_energy_mev_per_atom": 19,
  "vol_a3_per_cell": 149.42,
  "crystal_system": "trigonal",
  "spacegroup": "R3m"
}